# 1
Here is crystalline GaHgCl at its relaxed geometry from Alexandria via LeMat-Bulk. Energies are from PBE.

Computed properties:
theoretical density = 5.73 g cm⁻³
crystal system = triclinic
symmetry = P1
calculated total energy = -2.156 eV/atom
formation energy from raw total energies = -431 meV per atom

```
6
Lattice="3.864 0.000 0.000 0.023 6.095 0.000 0.042 0.079 7.521" Properties=species:S:1:pos:R:3 pbc="T T T"
Ga 0.000 0.000 0.000
Ga 1.945 3.614 3.096
Hg 0.024 3.107 0.426
Hg 1.971 1.489 5.350
Cl 1.931 0.044 1.818
Cl 3.882 4.594 4.545
```

# 2
Here is crystalline Ga5Hg3Cl12 at its relaxed geometry from Alexandria via LeMat-Bulk. Energies are from PBE.

Computed properties:
theoretical density = 3.40 g cm⁻³
crystal system = cubic
symmetry = Ia-3d
calculated total energy = -2.718 eV/atom
D(E_F) = 60.8 states/eV/cell
formation energy from raw total energies = -808 meV per atom

```
80
Lattice="-8.755 8.755 8.755 8.755 -8.755 8.755 8.755 8.755 -8.755" Properties=species:S:1:pos:R:3 pbc="T T T"
Ga 0.000 0.000 0.000
Ga 4.377 4.377 -4.377
Ga 4.377 -4.377 4.377
Ga 8.755 0.000 0.000
Ga 13.132 2.189 0.000
Ga 8.755 -4.377 6.566
Ga 6.566 8.755 -4.377
Ga 6.566 0.000 4.377
Ga 4.377 6.566 0.000
Ga 8.755 4.377 2.189
Ga -4.377 4.377 4.377
Ga 0.000 8.755 0.000
Ga 0.000 0.000 8.755
Ga 4.377 4.377 4.377
Ga 0.000 4.377 6.566
Ga 4.377 2.189 8.755
Ga 2.189 8.755 4.377
Ga 2.189 0.000 13.132
Ga 0.000 13.132 2.189
Ga -4.377 6.566 8.755
Hg 4.377 2.189 0.000
Hg 8.755 4.377 -2.189
Hg 2.189 0.000 4.377
Hg 10.944 0.000 4.377
Hg 0.000 4.377 2.189
Hg 4.377 -2.189 8.755
Hg 4.377 10.944 0.000
Hg 8.755 4.377 6.566
Hg -2.189 8.755 4.377
Hg 6.566 8.755 4.377
Hg 0.000 4.377 10.944
Hg 4.377 6.566 8.755
Cl -5.936 7.864 9.639
Cl 1.559 14.017 3.487
Cl 7.196 -5.262 5.268
Cl 14.691 0.891 -0.885
Cl 11.574 0.891 0.885
Cl 10.314 -3.493 5.268
Cl 9.639 -5.936 7.864
Cl 5.268 7.196 -5.262
Cl 7.864 -0.885 2.819
Cl 12.248 3.487 -1.559
Cl 7.864 9.639 -5.936
Cl 5.268 -1.559 5.262
Cl 5.262 5.268 -1.559
Cl 7.870 2.819 0.891
Cl 14.017 3.487 1.559
Cl 7.870 -2.819 7.864
Cl 7.864 7.870 -2.819
Cl 5.268 1.559 3.493
Cl 5.268 10.314 -3.493
Cl 3.493 5.268 1.559
Cl 9.639 5.936 0.891
Cl 7.864 0.885 5.936
Cl 2.819 7.864 -0.885
Cl 10.314 3.493 3.487
Cl 1.559 3.493 5.268
Cl 5.936 7.864 0.885
Cl 2.819 0.891 7.870
Cl 7.196 5.262 3.487
Cl -1.559 5.262 5.268
Cl 5.936 0.891 9.639
Cl 0.891 7.870 2.819
Cl -0.885 2.819 7.864
Cl 5.262 3.487 7.196
Cl 3.487 -1.559 12.248
Cl 3.487 7.196 5.262
Cl 0.891 0.885 11.574
Cl 0.885 11.574 0.891
Cl -5.262 5.268 7.196
Cl 0.885 5.936 7.864
Cl 3.493 3.487 10.314
Cl 3.487 10.314 3.493
Cl 0.891 -0.885 14.691
Cl 3.487 1.559 14.017
Cl -0.885 14.691 0.891
Cl -3.493 5.268 10.314
Cl 0.891 9.639 5.936
Cl -1.559 12.248 3.487
Cl -2.819 7.864 7.870
```

# 3
Here is crystalline GaHgCl at its relaxed geometry from Alexandria via LeMat-Bulk. Energies are from PBE.

Computed properties:
theoretical density = 5.69 g cm⁻³
crystal system = triclinic
symmetry = P1
calculated total energy = -2.177 eV/atom
D(E_F) = 0.0 states/eV/cell
formation energy from raw total energies = -452 meV per atom

```
6
Lattice="3.952 0.000 0.000 0.000 5.822 0.000 -0.059 -0.065 7.754" Properties=species:S:1:pos:R:3 pbc="T T T"
Ga 0.000 0.000 0.000
Ga 1.917 2.846 5.195
Hg 1.970 4.765 2.362
Hg 3.898 1.872 2.815
Cl 1.916 0.150 5.897
Cl 3.894 3.067 7.050
```

# 4
Here is crystalline GaHgCl at its relaxed geometry from Alexandria via LeMat-Bulk. Energies are from PBE.

Computed properties:
theoretical density = 5.42 g cm⁻³
crystal system = orthorhombic
symmetry = Pmm2
calculated total energy = -2.153 eV/atom
D(E_F) = 0.4 states/eV/cell
formation energy from raw total energies = -428 meV per atom

```
3
Lattice="4.040 0.000 0.000 0.000 5.721 0.000 0.000 0.000 4.050" Properties=species:S:1:pos:R:3 pbc="T T T"
Ga 0.000 0.000 0.000
Hg 0.000 2.861 0.038
Cl 2.020 0.000 2.074
```

# 5
Here is crystalline GaHgCl at its relaxed geometry from Alexandria via LeMat-Bulk. Energies are from PBE.

Computed properties:
theoretical density = 5.39 g cm⁻³
crystal system = triclinic
symmetry = P1
calculated total energy = -2.173 eV/atom
D(E_F) = 0.3 states/eV/cell
formation energy from raw total energies = -448 meV per atom

```
6
Lattice="5.442 0.000 0.000 2.518 5.032 0.000 2.487 1.900 6.876" Properties=species:S:1:pos:R:3 pbc="T T T"
Ga 0.000 0.000 0.000
Ga 1.719 1.146 1.628
Hg 4.478 3.304 4.276
Hg 7.208 1.637 4.282
Cl 3.276 2.649 0.415
Cl 6.161 4.545 1.604
```

# 6
Here is crystalline GaHgCl5 at its relaxed geometry from Alexandria via LeMat-Bulk. Energies are from PBE.

Computed properties:
theoretical density = 3.13 g cm⁻³
crystal system = triclinic
symmetry = P-1
calculated total energy = -2.669 eV/atom
D(E_F) = 0.0 states/eV/cell
formation energy from raw total energies = -874 meV per atom

```
14
Lattice="6.864 0.000 0.000 -0.530 8.297 0.000 -2.985 -3.784 8.333" Properties=species:S:1:pos:R:3 pbc="T T T"
Ga -0.222 2.025 1.792
Ga 3.572 2.487 6.541
Hg 3.432 0.000 0.000
Hg 1.939 -1.892 4.167
Cl -2.025 -2.225 8.323
Cl -0.087 4.122 2.307
Cl -0.030 0.620 3.414
Cl -1.049 2.500 7.256
Cl 0.317 -2.243 5.796
Cl 3.032 6.755 2.538
Cl 4.398 2.012 1.077
Cl 3.379 3.893 4.920
Cl 3.436 0.391 6.026
Cl 5.374 6.738 0.011
```